CsGaSn2Se, PBEsol geometry, DFT SCAN; uncorrected formation energy = 1330 meV per atom; space-group type = No. 123; V = 218.1 Å³ per cell
1.0
6.088 0.000 0.000
0.000 6.088 0.000
0.000 0.000 5.883
Cs Ga Sn Se
1 1 2 1
Cartesian
0.000 0.000 0.000 Cs
3.044 3.044 2.942 Ga
0.000 3.044 0.000 Sn
3.044 0.000 0.000 Sn
0.000 0.000 2.942 Se